## SrYCd (PBE-GGA)

Data for a geometry-optimized SrYCd structure.

## Properties
E_form = -0.145 eV per atom
Final energy = -3.17 eV per atom

a b c (Å): 7.329 7.329 7.329
angles (deg): 149.34 149.34 43.91
Sites, in units of the cell vectors:
Sr 0.000 0.000 0.000
Y 0.282 0.282 0.000
Cd 0.664 0.664 0.000

## Sr2YCd6 (PBE-GGA)

Data for a geometry-optimized Sr2YCd6 structure.

## Properties
E_form = -0.306 eV per atom
Final energy = -2.01 eV per atom

a b c (Å): 8.839 8.839 3.659
angles (deg): 90.00 90.00 120.00
Sites, in units of the cell vectors:
Sr 0.333 0.667 0.000
Sr 0.667 0.333 0.000
Y 0.000 0.000 0.000
Cd 0.000 0.328 0.500
Cd 0.000 0.672 0.500
Cd 0.328 0.000 0.500
Cd 0.328 0.328 0.500
Cd 0.672 0.000 0.500
Cd 0.672 0.672 0.500

## SrY3Cd4 (PBE-GGA)

Data for a geometry-optimized SrY3Cd4 structure.

## Properties
E_form = -0.319 eV per atom
Final energy = -3.41 eV per atom

a b c (Å): 5.384 5.384 7.669
angles (deg): 90.00 90.00 90.00
Sites, in units of the cell vectors:
Sr 0.000 0.000 0.000
Y 0.000 0.000 0.500
Y 0.500 0.500 0.000
Y 0.500 0.500 0.500
Cd 0.000 0.500 0.265
Cd 0.000 0.500 0.735
Cd 0.500 0.000 0.265
Cd 0.500 0.000 0.735

Q: Among the records above, which one has the lowest E_form?
A: SrY3Cd4